Record 1
The following is a DFT calculation (PBE-GGA) of a relaxed structure of HoTm2Rh.

Structure (POSCAR):
```
HoTm2Rh
1.0
1.8870 1.0895 8.9790
-1.8870 1.0895 8.9790
0.0000 -2.1790 8.9790
Ho Tm Rh
1 2 1
Direct
0.0000 0.0000 0.0000
0.5584 0.5584 0.5584
0.7714 0.7714 0.7714
0.1647 0.1647 0.1647
```

calculated volume = 27.69 Å³/atom
symmetry = R3m (160)
relative energy among the computed polymorphs = 203 meV/atom
ΔE_f = -0.358 eV/atom

Record 2
The following is a DFT calculation (PBE-GGA) of a relaxed structure of NdY3Er2.

Structure (POSCAR):
```
NdY3Er2
1.0
6.6130 0.0000 0.0000
-1.9869 7.0309 0.0000
-2.1721 -2.5226 8.4468
Nd Y Er
2 6 4
Direct
0.2399 0.1903 0.0254
0.7601 0.8097 0.9746
0.1630 0.5054 0.3658
0.1647 0.0065 0.3676
0.2358 0.6908 0.0286
0.7642 0.3092 0.9714
0.8353 0.9935 0.6324
0.8370 0.4946 0.6342
0.3324 0.8834 0.7141
0.3328 0.3886 0.7158
0.6672 0.6114 0.2842
0.6676 0.1166 0.2859
```

calculated volume = 32.73 Å³/atom
symmetry = P-1 (2)
ΔE_f = 0.060 eV/atom

Which of these has the lowest ΔE_f? HoTm2Rh